A geometry-optimized CrNiP structure, computed with PBE-GGA.

```
data_CrNiP
_space_group_name_H-M_alt 'P 1'
_space_group_IT_number 1
_space_group_name_Hall 'P 1'
_cell_length_a 6.5699
_cell_length_b 6.5699
_cell_length_c 2.8167
_cell_angle_alpha 90.00
_cell_angle_beta 90.00
_cell_angle_gamma 120.00
loop_
_atom_site_label
_atom_site_type_symbol
_atom_site_fract_x
_atom_site_fract_y
_atom_site_fract_z
Cr1 Cr 0.3333 0.6667 0.0000
Cr2 Cr 0.6667 0.3333 0.0000
Cr3 Cr 0.0000 0.0000 0.5000
Ni1 Ni 0.6290 0.0000 0.5000
Ni2 Ni 0.0000 0.6290 0.5000
Ni3 Ni 0.3710 0.3710 0.5000
P1 P 0.2886 0.0000 0.0000
P2 P 0.0000 0.2886 0.0000
P3 P 0.7114 0.7114 0.0000
```

Results
Crystal system = hexagonal
E = -7.004 eV/atom
Calculated volume = 11.699 A^3/atom